The following is a PBE calculation of crystalline ScRe2Os at its relaxed geometry, from the Alexandria database.

Cell: 2.784 2.784 8.314 Å, 90.00 90.00 90.00°
Space group P4/mmm (No. 123)
Asymmetric unit:
Sc (0.000, 0.000, 0.000)
Re (0.500, 0.500, 0.275)
Os (0.000, 0.000, 0.500)

Results
Relative energy among the computed polymorphs, eV/atom: 0.1146
Fermi-level density of states, states/eV per atom: 0.844
Calculated volume, Å³/atom: 16.1
Formation energy from the elements, meV per atom: 75